Density functional theory data (PBE with a Hubbard U) for CaCoP2O7 after structural relaxation.

a b c (Å): 6.364 6.581 6.975
angles (deg): 96.25 90.08 112.03
Space group P-1 (No. 2)
One atom of each set of equivalent atoms:
Ca (0.205, 0.236, 0.386) x2
Co (0.256, 0.633, 0.807) x2
P (0.253, 0.721, 0.367) x2
P (0.337, 0.159, 0.879) x2
O (0.086, 0.506, 0.255) x2
O (0.147, 0.882, 0.447) x2
O (0.174, 0.917, 0.858) x2
O (0.261, 0.310, 0.770) x2
O (0.379, 0.654, 0.524) x2
O (0.415, 0.253, 0.091) x2
O (0.432, 0.849, 0.219) x2

Output
Calculated total energy: -0.260 Ha/atom
Relative energy among the computed polymorphs: 0 meV/atom